Material: PrLuSn2
Method: DFT, PBE-GGA
State: relaxed

a b c (Å): 7.6527 7.6527 7.6527
angles (deg): 90.00 90.00 90.00
With the nearest neighbours (Å) after each atom.
Space group Fm-3m (No. 225)
One atom of each set of equivalent atoms:
Pr  0.0000  0.0000  0.0000 [4 per cell]  8 Sn 3.31
Lu  0.0000  0.0000  0.5000 [4 per cell]  8 Sn 3.31
Sn  0.2500  0.2500  0.2500 [8 per cell]  4 Pr 3.31, 4 Lu 3.31

Calculated volume: 448.17 Å³/cell
Raw total energy: -4.845 eV/atom
DOS(E_F): 3.6 states/eV/f.u.
Magnetization: 0.000 μB per atom
Formation energy: -518.9 meV/atom

***

Material: PrLuSn2
Method: DFT, PBE-GGA
State: relaxed

a b c (Å): 3.4931 3.4931 8.9249
angles (deg): 90.00 90.00 90.00
With the nearest neighbours (Å) after each atom.
Space group P4/mmm (No. 123)
One atom of each set of equivalent atoms:
Pr  0.0000  0.0000  0.0000 [1 per cell]  8 Sn 3.41, 4 Pr 3.49
Lu  0.0000  0.0000  0.5000 [1 per cell]  8 Sn 3.25, 4 Lu 3.49
Sn  0.5000  0.5000  0.2641 [2 per cell]  4 Lu 3.25, 4 Pr 3.41, 4 Sn 3.49

Calculated volume: 108.90 Å³/cell
Raw total energy: -4.930 eV/atom
DOS(E_F): 3.3 states/eV/f.u.
Magnetization: 0.000 μB per atom
Formation energy: -603.8 meV/atom

***

What did the first record say?
Material: PrLuSn2
Method: DFT, PBE-GGA
State: relaxed

a b c (Å): 7.6527 7.6527 7.6527
angles (deg): 90.00 90.00 90.00
With the nearest neighbours (Å) after each atom.
Space group Fm-3m (No. 225)
One atom of each set of equivalent atoms:
Pr  0.0000  0.0000  0.0000 [4 per cell]  8 Sn 3.31
Lu  0.0000  0.0000  0.5000 [4 per cell]  8 Sn 3.31
Sn  0.2500  0.2500  0.2500 [8 per cell]  4 Pr 3.31, 4 Lu 3.31

Calculated volume: 448.17 Å³/cell
Raw total energy: -4.845 eV/atom
DOS(E_F): 3.6 states/eV/f.u.
Magnetization: 0.000 μB per atom
Formation energy: -518.9 meV/atom